Entry from Alexandria: crystalline Al4SbS7 at its relaxed geometry (PBE).

Values from the calculation:
- Magnetic moment: 2.071 Bohr magnetons per cell
- Total DFT energy (no corrections): -4.81 eV/atom
- Energy relative to the elements, uncorrected: -0.8134 eV/atom

abc: 14.935 6.471 6.065
angles: 90.00 90.00 90.00
Space group Pmn2_1 (No. 31)
Symmetry-distinct sites (fractional):
Al1 0.128 0.159 0.000 [4 per cell]
Al2 0.249 0.681 0.983 [4 per cell]
Sb1 0.000 0.497 0.533 [2 per cell]
S1 0.000 0.342 0.906 [2 per cell]
S2 0.118 0.181 0.374 [4 per cell]
S3 0.126 0.839 0.871 [4 per cell]
S4 0.248 0.342 0.865 [4 per cell]